[1]
A geometry-optimized Ba6In3Ag structure. Source: Alexandria, functional GGA-PBE.

The final energy is -51.02 eV per cell. For the formation energy, the calculation gives -291 meV per atom.

It has space group P2_1/m (No. 11), with a = 10.447 Å, b = 5.990 Å, c = 14.068 Å, α = 90.00°, β = 111.68° and γ = 90.00°. The distinct sites, in fractional coordinates, are Ba at (0.020, 0.250, 0.417), Ba at (0.168, 0.750, 0.155), Ba at (0.251, 0.250, 0.994), Ba at (0.340, 0.750, 0.828), Ba at (0.363, 0.250, 0.356), Ba at (0.380, 0.250, 0.641), In at (0.014, 0.750, 0.856), In at (0.070, 0.250, 0.718), In at (0.263, 0.750, 0.466) and Ag at (0.462, 0.750, 0.096).

---

[2]
A geometry-optimized BaIn2Ag structure. Source: Alexandria, functional GGA-PBE.

The final energy is -11.10 eV per cell. For the formation energy, the calculation gives -212 meV per atom.

It has space group P4/mmm (No. 123), with a = 3.759 Å, b = 3.759 Å, c = 8.098 Å, α = 90.00°, β = 90.00° and γ = 90.00°. The distinct sites, in fractional coordinates, are Ba at (0.000, 0.000, 0.000), In at (0.500, 0.500, 0.311) and Ag at (0.000, 0.000, 0.500).

---

[3]
A geometry-optimized BaInAg2 structure. Source: Alexandria, functional GGA-PBE.

The final energy is -21.12 eV per cell. For the formation energy, the calculation gives -49 meV per atom.

It has space group I-4m2 (No. 119), with a = 5.019 Å, b = 5.019 Å, c = 8.826 Å, α = 90.00°, β = 90.00° and γ = 90.00°. The distinct sites, in fractional coordinates, are Ba at (0.000, 0.000, 0.000), In at (0.000, 0.500, 0.750), Ag at (0.000, 0.000, 0.500) and Ag at (0.000, 0.500, 0.250).

---

[4]
A geometry-optimized BaIn2Ag structure. Source: Alexandria, functional GGA-PBE.

The final energy is -10.90 eV per cell. For the formation energy, the calculation gives -162 meV per atom.

It has space group P4mm (No. 99), with a = 3.867 Å, b = 3.867 Å, c = 7.902 Å, α = 90.00°, β = 90.00° and γ = 90.00°. The distinct sites, in fractional coordinates, are Ba at (0.000, 0.000, 0.000), In at (0.000, 0.000, 0.535), In at (0.500, 0.500, 0.306) and Ag at (0.500, 0.500, 0.699).

---

Which value of final energy does entry 3 give? -21.12 eV per cell